i.
{
  "formula": "BeCoIO2",
  "functional": "PBE with a Hubbard U",
  "state": "optimized geometry",
  "dos_at_fermi_per_ev_atom": 0.203,
  "m_tot_mub_per_atom": 0.797,
  "lattice_angstrom": [[3.666, 0.000, 0.000], [0.000, 3.666, 0.000], [0.000, 0.000, 6.844]],
  "species": ["Be", "Co", "I", "O", "O"],
  "fractional_positions": [[0.000, 0.000, 0.000], [0.500, 0.500, 0.500], [0.500, 0.500, 0.000], [0.000, 0.500, 0.500], [0.500, 0.000, 0.500]]
}

***

ii.
{
  "formula": "BeCoIO2",
  "functional": "PBE with a Hubbard U",
  "state": "optimized geometry",
  "dos_at_fermi_per_ev_atom": 0.628,
  "m_tot_mub_per_atom": 0.688,
  "lattice_angstrom": [[3.549, 0.000, 0.000], [0.000, 3.549, 0.000], [0.000, 0.000, 6.273]],
  "species": ["Be", "Co", "I", "O", "O"],
  "fractional_positions": [[0.000, 0.000, 0.000], [0.500, 0.500, 0.500], [0.000, 0.000, 0.500], [0.000, 0.500, 0.000], [0.500, 0.000, 0.000]]
}

***

Which is most stable? The ranking, best first, is ii, i.